1.
## MnP3Au (GGA-PBE)

Data for a relaxed MnP3Au crystal.

a b c (Å): 4.772 4.772 4.772
angles (deg): 90.00 90.00 90.00
Each line ends with the local moment (μB).
Sites, in units of the cell vectors:
P 0.000 0.500 0.000  0.07
P 0.000 0.000 0.500  0.05
P 0.500 0.000 0.000  0.09
Mn 0.500 0.500 0.500  0.06
Au 0.000 0.000 0.000  0.02

Electronic total energy, eV/atom: -4.01
ΔE_f, kJ per mole of atoms: 167
M_tot, μB/f.u.: 0.5

***

2.
## MnPAu (GGA-PBE)

Data for a relaxed MnPAu crystal.

a b c (Å): 4.214 4.214 4.214
angles (deg): 60.00 60.00 60.00
Each line ends with the local moment (μB).
Sites, in units of the cell vectors:
Au 0.500 0.500 0.500  0.10
P 0.000 0.000 0.000  -0.12
Mn 0.750 0.750 0.750  3.43

Electronic total energy, eV/atom: -5.83
ΔE_f, kJ per mole of atoms: 12
M_tot, μB/f.u.: 3.5

***

3.
## Mn2PAu (GGA-PBE)

Data for a relaxed Mn2PAu crystal.

a b c (Å): 6.305 4.439 3.156
angles (deg): 90.17 59.69 122.06
Each line ends with the local moment (μB).
Sites, in units of the cell vectors:
Au 0.500 0.500 0.000  0.08
Mn 0.000 0.000 0.000  3.45
Mn 0.500 0.000 0.500  3.45
P 0.000 0.500 0.500  -0.10

Electronic total energy, eV/atom: -6.65
ΔE_f, kJ per mole of atoms: 11
M_tot, μB/f.u.: 7.1

***

4.
## MnP2Au (GGA-PBE)

Data for a relaxed MnP2Au crystal.

a b c (Å): 2.817 2.817 7.566
angles (deg): 90.00 90.00 90.00
Each line ends with the local moment (μB).
Sites, in units of the cell vectors:
Mn 0.500 0.500 0.790  1.83
Au 0.000 0.000 0.520  0.04
P 0.500 0.500 0.245  -0.03
P 0.000 0.000 0.945  -0.10

Electronic total energy, eV/atom: -5.55
ΔE_f, kJ per mole of atoms: 25
M_tot, μB/f.u.: 1.7

***

5.
## MnP2Au (GGA-PBE)

Data for a relaxed MnP2Au crystal.

a b c (Å): 2.771 2.771 7.892
angles (deg): 90.00 90.00 89.98
Sites, in units of the cell vectors:
Mn 0.500 0.500 0.750
Au 0.500 0.500 0.250
P 0.000 0.000 0.579
P 0.000 0.000 0.921

Electronic total energy, eV/atom: -5.75
ΔE_f, kJ per mole of atoms: 6
M_tot, μB/f.u.: 0.0

***

6.
## Mn2PAu (GGA-PBE)

Data for a relaxed Mn2PAu crystal.

a b c (Å): 4.348 4.348 5.034
angles (deg): 89.23 89.23 40.05
Each line ends with the local moment (μB).
Sites, in units of the cell vectors:
Mn 0.739 0.739 0.706  2.49
Mn 0.015 0.015 0.962  3.12
Au 0.286 0.286 0.216  0.06
P 0.461 0.461 0.616  -0.12

Electronic total energy, eV/atom: -6.73
ΔE_f, kJ per mole of atoms: 3
M_tot, μB/f.u.: 5.7

***

7.
## MnPAu2 (GGA-PBE)

Data for a relaxed MnPAu2 crystal.

a b c (Å): 4.188 3.304 5.416
angles (deg): 67.98 90.00 90.00
Each line ends with the local moment (μB).
Sites, in units of the cell vectors:
P 0.500 0.750 0.750  -0.07
Mn 0.500 0.250 0.250  3.88
Au 0.000 0.876 0.987  0.03
Au 0.000 0.624 0.513  0.03

Electronic total energy, eV/atom: -5.12
ΔE_f, kJ per mole of atoms: 16
M_tot, μB/f.u.: 4.0

***

8.
## Mn2PAu (GGA-PBE)

Data for a relaxed Mn2PAu crystal.

a b c (Å): 2.923 2.923 6.710
angles (deg): 90.00 90.00 90.00
Each line ends with the local moment (μB).
Sites, in units of the cell vectors:
Mn 0.500 0.500 0.287  0.07
Mn 0.000 0.000 0.032  3.62
P 0.000 0.000 0.429  -0.01
Au 0.500 0.500 0.753  0.04

Electronic total energy, eV/atom: -6.74
ΔE_f, kJ per mole of atoms: 1
M_tot, μB/f.u.: 3.9

***

Which value of electronic total energy does entry 8 give? -6.74 eV/atom